# 1
A geometry-optimized Sr3Al2H12O12 structure. Source: the Alexandria database, functional PBE.

a = 11.4349 Å, b = 11.4349 Å, c = 11.4349 Å
α = 109.47°, β = 109.47°, γ = 109.47°
With the nearest neighbours (Å) after each atom.
Positions (direct):
1 Sr 0.1250 0.2500 0.3750  8 O 2.60-2.69
2 Sr 0.1250 0.3750 0.7500  8 O 2.60-2.69
3 Sr 0.2500 0.3750 0.1250  8 O 2.60-2.69
4 Sr 0.2500 0.8750 0.6250  8 O 2.60-2.69
5 Sr 0.3750 0.1250 0.2500  8 O 2.60-2.69
6 Sr 0.3750 0.7500 0.1250  8 O 2.60-2.69
7 Sr 0.6250 0.2500 0.8750  8 O 2.60-2.69
8 Sr 0.6250 0.8750 0.7500  8 O 2.60-2.69
9 Sr 0.7500 0.1250 0.3750  8 O 2.60-2.69
10 Sr 0.7500 0.6250 0.8750  8 O 2.60-2.69
11 Sr 0.8750 0.6250 0.2500  8 O 2.60-2.69
12 Sr 0.8750 0.7500 0.6250  8 O 2.60-2.69
13 Al 0.0000 0.0000 0.0000  6 O 1.94
14 Al 0.0000 0.0000 0.5000  6 O 1.94
15 Al 0.0000 0.5000 0.0000  6 O 1.94
16 Al 0.0000 0.5000 0.5000  6 O 1.94
17 Al 0.5000 0.0000 0.0000  6 O 1.94
18 Al 0.5000 0.0000 0.5000  6 O 1.94
19 Al 0.5000 0.5000 0.0000  6 O 1.94
20 Al 0.5000 0.5000 0.5000  6 O 1.94
21 H 0.0532 0.6111 0.8601  1 O 0.97
22 H 0.0532 0.9421 0.1930  1 O 0.97
23 H 0.0579 0.7509 0.1111  1 O 0.97
24 H 0.0579 0.8070 0.9468  1 O 0.97
25 H 0.1111 0.0579 0.7509  1 O 0.97
26 H 0.1111 0.5532 0.3601  1 O 0.97
27 H 0.1399 0.6930 0.7509  1 O 0.97
28 H 0.1399 0.9468 0.3889  1 O 0.97
29 H 0.1930 0.0532 0.9421  1 O 0.97
30 H 0.1930 0.6399 0.2509  1 O 0.97
31 H 0.2491 0.8601 0.3070  1 O 0.97
32 H 0.2491 0.8889 0.9421  1 O 0.97
33 H 0.2509 0.1930 0.6399  1 O 0.97
34 H 0.2509 0.5579 0.6111  1 O 0.97
35 H 0.3070 0.2491 0.8601  1 O 0.97
36 H 0.3070 0.5579 0.4468  1 O 0.97
37 H 0.3601 0.1111 0.5532  1 O 0.97
38 H 0.3601 0.7491 0.8070  1 O 0.97
39 H 0.3889 0.1399 0.9468  1 O 0.97
40 H 0.3889 0.7491 0.4421  1 O 0.97
41 H 0.4421 0.3889 0.7491  1 O 0.97
42 H 0.4421 0.5532 0.6930  1 O 0.97
43 H 0.4468 0.3070 0.5579  1 O 0.97
44 H 0.4468 0.6399 0.8889  1 O 0.97
45 H 0.5532 0.3601 0.1111  1 O 0.97
46 H 0.5532 0.6930 0.4421  1 O 0.97
47 H 0.5579 0.4468 0.3070  1 O 0.97
48 H 0.5579 0.6111 0.2509  1 O 0.97
49 H 0.6111 0.2509 0.5579  1 O 0.97
50 H 0.6111 0.8601 0.0532  1 O 0.97
51 H 0.6399 0.2509 0.1930  1 O 0.97
52 H 0.6399 0.8889 0.4468  1 O 0.97
53 H 0.6930 0.4421 0.5532  1 O 0.97
54 H 0.6930 0.7509 0.1399  1 O 0.97
55 H 0.7491 0.4421 0.3889  1 O 0.97
56 H 0.7491 0.8070 0.3601  1 O 0.97
57 H 0.7509 0.1111 0.0579  1 O 0.97
58 H 0.7509 0.1399 0.6930  1 O 0.97
59 H 0.8070 0.3601 0.7491  1 O 0.97
60 H 0.8070 0.9468 0.0579  1 O 0.97
61 H 0.8601 0.0532 0.6111  1 O 0.97
62 H 0.8601 0.3070 0.2491  1 O 0.97
63 H 0.8889 0.4468 0.6399  1 O 0.97
64 H 0.8889 0.9421 0.2491  1 O 0.97
65 H 0.9421 0.1930 0.0532  1 O 0.97
66 H 0.9421 0.2491 0.8889  1 O 0.97
67 H 0.9468 0.0579 0.8070  1 O 0.97
68 H 0.9468 0.3889 0.1399  1 O 0.97
69 O 0.0209 0.1841 0.1080  1 H 0.97
70 O 0.0209 0.3368 0.9130  1 H 0.97
71 O 0.0762 0.6841 0.6632  1 H 0.97
72 O 0.0762 0.8920 0.4130  1 H 0.97
73 O 0.0870 0.6080 0.4238  1 H 0.97
74 O 0.0870 0.9791 0.6632  1 H 0.97
75 O 0.1080 0.0209 0.1841  1 H 0.97
76 O 0.1080 0.5870 0.9238  1 H 0.97
77 O 0.1632 0.1841 0.5762  1 H 0.97
78 O 0.1632 0.4791 0.5870  1 H 0.97
79 O 0.1841 0.1080 0.0209  1 H 0.97
80 O 0.1841 0.5762 0.1632  1 H 0.97
81 O 0.3159 0.3368 0.9238  1 H 0.97
82 O 0.3159 0.4791 0.3920  1 H 0.97
83 O 0.3368 0.9130 0.0209  1 H 0.97
84 O 0.3368 0.9238 0.3159  1 H 0.97
85 O 0.3920 0.3159 0.4791  1 H 0.97
86 O 0.3920 0.5762 0.9130  1 H 0.97
87 O 0.4130 0.0762 0.8920  1 H 0.97
88 O 0.4130 0.8368 0.5209  1 H 0.97
89 O 0.4238 0.0870 0.6080  1 H 0.97
90 O 0.4238 0.8368 0.8159  1 H 0.97
91 O 0.4791 0.3920 0.3159  1 H 0.97
92 O 0.4791 0.5870 0.1632  1 H 0.97
93 O 0.5209 0.4130 0.8368  1 H 0.97
94 O 0.5209 0.6080 0.6841  1 H 0.97
95 O 0.5762 0.1632 0.1841  1 H 0.97
96 O 0.5762 0.9130 0.3920  1 H 0.97
97 O 0.5870 0.1632 0.4791  1 H 0.97
98 O 0.5870 0.9238 0.1080  1 H 0.97
99 O 0.6080 0.4238 0.0870  1 H 0.97
100 O 0.6080 0.6841 0.5209  1 H 0.97
101 O 0.6632 0.0762 0.6841  1 H 0.97
102 O 0.6632 0.0870 0.9791  1 H 0.97
103 O 0.6841 0.5209 0.6080  1 H 0.97
104 O 0.6841 0.6632 0.0762  1 H 0.97
105 O 0.8159 0.4238 0.8368  1 H 0.97
106 O 0.8159 0.8920 0.9791  1 H 0.97
107 O 0.8368 0.5209 0.4130  1 H 0.97
108 O 0.8368 0.8159 0.4238  1 H 0.97
109 O 0.8920 0.4130 0.0762  1 H 0.97
110 O 0.8920 0.9791 0.8159  1 H 0.97
111 O 0.9130 0.0209 0.3368  1 H 0.97
112 O 0.9130 0.3920 0.5762  1 H 0.97
113 O 0.9238 0.1080 0.5870  1 H 0.97
114 O 0.9238 0.3159 0.3368  1 H 0.97
115 O 0.9791 0.6632 0.0870  1 H 0.97
116 O 0.9791 0.8159 0.8920  1 H 0.97

## Properties
Energy ... -660.01 eV/cell
Space group ... No. 230
Fermi-level density of states ... 0.000 states/eV per atom

***

# 2
A geometry-optimized AgPt2 structure. Source: the Alexandria database, functional PBE.

a = 4.9521 Å, b = 4.9521 Å, c = 9.3348 Å
α = 95.07°, β = 95.07°, γ = 120.10°
With the nearest neighbours (Å) after each atom.
Positions (direct):
1 Ag 0.0420 0.2034 0.1252  2 Ag 2.80-2.81, 10 Pt 2.83-2.90
2 Ag 0.2034 0.0420 0.6252  2 Ag 2.80-2.81, 10 Pt 2.83-2.90
3 Ag 0.7966 0.9580 0.3748  2 Ag 2.80-2.81, 10 Pt 2.83-2.90
4 Ag 0.9580 0.7966 0.8748  2 Ag 2.80-2.81, 10 Pt 2.83-2.90
5 Pt 0.1272 0.6262 0.3738  7 Pt 2.79-2.90, 5 Ag 2.83-2.87
6 Pt 0.2976 0.4733 0.8764  7 Pt 2.79-2.90, 5 Ag 2.83-2.90
7 Pt 0.3738 0.8728 0.1262  7 Pt 2.79-2.90, 5 Ag 2.83-2.87
8 Pt 0.4733 0.2976 0.3764  7 Pt 2.79-2.90, 5 Ag 2.83-2.90
9 Pt 0.5267 0.7024 0.6236  7 Pt 2.79-2.90, 5 Ag 2.83-2.90
10 Pt 0.6262 0.1272 0.8738  7 Pt 2.79-2.90, 5 Ag 2.83-2.87
11 Pt 0.7024 0.5267 0.1236  7 Pt 2.79-2.90, 5 Ag 2.83-2.90
12 Pt 0.8728 0.3738 0.6262  7 Pt 2.79-2.90, 5 Ag 2.83-2.87

## Properties
DFT formation energy ... 0.062 eV/atom
Energy ... -58.99 eV/cell
Space group ... No. 15
Fermi-level density of states ... 1.439 states/eV per atom
E above lowest polymorph ... 0.069 eV per atom

***

# 3
A geometry-optimized Pu2CdO structure. Source: the Alexandria database, functional PBE.

a = 9.7826 Å, b = 9.7826 Å, c = 9.7826 Å
α = 19.73°, β = 19.73°, γ = 19.73°
With the nearest neighbours (Å) after each atom.
Positions (direct):
1 Pu 0.1144 0.1144 0.1144  3 O 2.45
2 Pu 0.8856 0.8856 0.8856  3 O 2.45
3 Cd 0.0000 0.0000 0.0000  2 Pu 3.29, 6 Cd 3.35
4 O 0.5000 0.5000 0.5000  6 Pu 2.45

## Properties
E_form (uncorrected) ... -0.905 eV/atom
Energy ... -38.16 eV/cell
Space group ... No. 166
Fermi-level density of states ... 3.167 states/eV per atom
E above lowest polymorph ... 0.000 eV per atom

***

# 4
A geometry-optimized TaNb2BiOs structure. Source: the Alexandria database, functional PBE.

a = 4.8867 Å, b = 4.8867 Å, c = 5.0161 Å
α = 90.00°, β = 90.00°, γ = 90.00°
With the nearest neighbours (Å) after each atom.
Positions (direct):
1 Ta 0.0000 0.0000 0.0000  4 Bi 3.46, 8 Nb 3.50
2 Nb 0.0000 0.5000 0.5000  2 Os 2.44
3 Nb 0.5000 0.0000 0.5000  2 Os 2.44
4 Bi 0.5000 0.5000 0.0000  2 Os 2.51
5 Os 0.5000 0.5000 0.5000  4 Nb 2.44, 2 Bi 2.51

## Properties
DFT formation energy ... 1.497 eV/atom
Energy ... -39.62 eV/cell
Space group ... No. 123
Fermi-level density of states ... 1.223 states/eV per atom